Record 1
First-principles (GGA-PBE) data for an optimized crystal structure of K6TlI8, as listed in the Alexandria database.

Cell and atoms, written as POSCAR:
```
K6TlI8
1.0
-4.298 -1.743 5.318
-6.606 -4.685 -6.875
7.831 -5.596 4.497
K Tl I
6 1 8
direct
0.731 0.627 0.999
0.731 0.001 0.629
0.731 0.371 0.373
0.269 0.373 0.001
0.269 0.999 0.371
0.269 0.629 0.627
0.500 0.000 0.000
0.770 0.000 0.285
0.770 0.715 0.714
0.770 0.286 0.000
0.230 0.000 0.715
0.230 0.285 0.286
0.230 0.714 0.000
0.498 0.333 0.667
0.502 0.667 0.333
```

## Properties
For the formation energy from raw total energies, the calculation gives -17.67 eV/f.u. Its raw total energy is -0.191 Ry/atom. As for the space group: P-3, No. 147. The calculation puts the density of states at the Fermi level at 1.605 states/eV/atom. As for the theoretical density: 3.5 g/cm3.



Record 2
First-principles (GGA-PBE) data for an optimized crystal structure of Tb4Pm2YMg, as listed in the Alexandria database.

Cell and atoms, written as POSCAR:
```
Tb4Pm2YMg
1.0
-4.700 1.143 1.229
-1.678 -3.432 -3.226
-1.463 -10.426 4.101
Tb Pm Y Mg
4 2 1 1
direct
0.000 0.748 0.752
0.000 0.252 0.248
0.500 0.752 0.248
0.500 0.248 0.752
0.000 0.000 0.000
0.500 0.000 0.500
0.000 0.500 0.500
0.500 0.500 0.000
```

## Properties
The calculation puts the formation energy at 0.024 eV/atom. Its raw total energy is -0.330 Ry/atom. As for the space group: P4/mmm, No. 123. The calculation puts the density of states at the Fermi level at 1.555 states/eV/atom. As for the theoretical density: 6.8 g/cm3.